# La6Ir2Ru

Crystalline La6Ir2Ru at its relaxed geometry (PBE-GGA, Alexandria).

magnetization: 0.00 μB/f.u.
energy of formation: -0.486 eV per atom
SG: P2_1/c, No. 14
density of states at the Fermi level: 16.855 states/eV/cell
mass density: 7.981 g cm⁻³

Structure (CIF):
```
data_La6Ir2Ru
_cell_length_a 6.995
_cell_length_b 7.467
_cell_length_c 12.164
_cell_angle_alpha 90.00
_cell_angle_beta 120.26
_cell_angle_gamma 90.00
_symmetry_space_group_name_H-M 'P 1'
_symmetry_Int_Tables_number 1
loop_
_symmetry_equiv_pos_as_xyz
'x,y,z'
loop_
_atom_site_label
_atom_site_type_symbol
_atom_site_fract_x
_atom_site_fract_y
_atom_site_fract_z
_atom_site_occupancy
La1 La 0.075 0.066 0.245 1
La2 La 0.075 0.434 0.745 1
La3 La 0.264 0.684 0.086 1
La4 La 0.264 0.816 0.586 1
La5 La 0.388 0.180 0.064 1
La6 La 0.388 0.320 0.564 1
La7 La 0.612 0.680 0.436 1
La8 La 0.612 0.820 0.936 1
La9 La 0.736 0.184 0.414 1
La10 La 0.736 0.316 0.914 1
La11 La 0.925 0.566 0.255 1
La12 La 0.925 0.934 0.755 1
Ir1 Ir 0.327 0.107 0.782 1
Ir2 Ir 0.327 0.393 0.282 1
Ir3 Ir 0.673 0.607 0.718 1
Ir4 Ir 0.673 0.893 0.218 1
Ru1 Ru 0.000 0.000 0.000 1
Ru2 Ru 0.000 0.500 0.500 1
```


# La4IrRu2

Crystalline La4IrRu2 at its relaxed geometry (PBE-GGA, Alexandria).

magnetization: 0.00 μB/f.u.
energy of formation: -0.332 eV per atom
SG: Cc, No. 9
density of states at the Fermi level: 8.460 states/eV/cell
mass density: 8.765 g cm⁻³

Structure (CIF):
```
data_La4IrRu2
_cell_length_a 8.183
_cell_length_b 8.183
_cell_length_c 7.358
_cell_angle_alpha 108.63
_cell_angle_beta 108.63
_cell_angle_gamma 114.83
_symmetry_space_group_name_H-M 'P 1'
_symmetry_Int_Tables_number 1
loop_
_symmetry_equiv_pos_as_xyz
'x,y,z'
loop_
_atom_site_label
_atom_site_type_symbol
_atom_site_fract_x
_atom_site_fract_y
_atom_site_fract_z
_atom_site_occupancy
La1 La 0.021 0.979 0.500 1
La2 La 0.115 0.661 0.781 1
La3 La 0.400 0.513 0.095 1
La4 La 0.480 0.915 0.628 1
La5 La 0.513 0.400 0.595 1
La6 La 0.661 0.115 0.281 1
La7 La 0.915 0.480 0.128 1
La8 La 0.979 0.021 0.000 1
Ir1 Ir 0.140 0.383 0.451 1
Ir2 Ir 0.383 0.140 0.951 1
Ru1 Ru 0.241 0.908 0.246 1
Ru2 Ru 0.552 0.737 0.893 1
Ru3 Ru 0.737 0.552 0.393 1
Ru4 Ru 0.908 0.241 0.746 1
```


# La8Ir3Ru

Crystalline La8Ir3Ru at its relaxed geometry (PBE-GGA, Alexandria).

magnetization: 0.00 μB/f.u.
energy of formation: -0.448 eV per atom
SG: Cm, No. 8
density of states at the Fermi level: 9.263 states/eV/cell
mass density: 6.710 g cm⁻³

Structure (CIF):
```
data_La8Ir3Ru
_cell_length_a 9.216
_cell_length_b 9.216
_cell_length_c 9.221
_cell_angle_alpha 106.92
_cell_angle_beta 106.92
_cell_angle_gamma 36.43
_symmetry_space_group_name_H-M 'P 1'
_symmetry_Int_Tables_number 1
loop_
_symmetry_equiv_pos_as_xyz
'x,y,z'
loop_
_atom_site_label
_atom_site_type_symbol
_atom_site_fract_x
_atom_site_fract_y
_atom_site_fract_z
_atom_site_occupancy
La1 La 0.000 0.000 0.000 1
La2 La 0.100 0.100 0.664 1
La3 La 0.217 0.217 0.369 1
La4 La 0.320 0.320 0.021 1
La5 La 0.432 0.432 0.681 1
La6 La 0.538 0.538 0.326 1
La7 La 0.782 0.782 0.702 1
La8 La 0.888 0.888 0.351 1
Ir1 Ir 0.051 0.051 0.323 1
Ir2 Ir 0.266 0.266 0.704 1
Ir3 Ir 0.373 0.373 0.334 1
Ru1 Ru 0.954 0.954 0.715 1
```


# La5IrRu2

Crystalline La5IrRu2 at its relaxed geometry (PBE-GGA, Alexandria).

magnetization: 0.00 μB/f.u.
energy of formation: -0.371 eV per atom
SG: I4/mcm, No. 140
density of states at the Fermi level: 15.598 states/eV/cell
mass density: 8.646 g cm⁻³

Structure (CIF):
```
data_La5IrRu2
_cell_length_a 8.897
_cell_length_b 8.897
_cell_length_c 8.897
_cell_angle_alpha 128.62
_cell_angle_beta 128.62
_cell_angle_gamma 75.62
_symmetry_space_group_name_H-M 'P 1'
_symmetry_Int_Tables_number 1
loop_
_symmetry_equiv_pos_as_xyz
'x,y,z'
loop_
_atom_site_label
_atom_site_type_symbol
_atom_site_fract_x
_atom_site_fract_y
_atom_site_fract_z
_atom_site_occupancy
La1 La 0.000 0.000 0.000 1
La2 La 0.032 0.532 0.845 1
La3 La 0.188 0.032 0.500 1
La4 La 0.312 0.812 0.845 1
La5 La 0.468 0.312 0.500 1
La6 La 0.500 0.500 0.000 1
La7 La 0.532 0.688 0.500 1
La8 La 0.688 0.188 0.155 1
La9 La 0.812 0.968 0.500 1
La10 La 0.968 0.468 0.155 1
Ir1 Ir 0.250 0.250 0.000 1
Ir2 Ir 0.750 0.750 0.000 1
Ru1 Ru 0.134 0.366 0.500 1
Ru2 Ru 0.366 0.866 0.233 1
Ru3 Ru 0.634 0.134 0.767 1
Ru4 Ru 0.866 0.634 0.500 1
```


# La4IrRu

Crystalline La4IrRu at its relaxed geometry (PBE-GGA, Alexandria).

magnetization: 0.00 μB/f.u.
distance to the lowest polymorph of the same formula: 0 meV per atom
energy of formation: -0.447 eV per atom
SG: Cmmm, No. 65
density of states at the Fermi level: 3.599 states/eV/cell
mass density: 7.113 g cm⁻³

Structure (CIF):
```
data_La4IrRu
_cell_length_a 6.771
_cell_length_b 6.771
_cell_length_c 4.323
_cell_angle_alpha 90.00
_cell_angle_beta 90.00
_cell_angle_gamma 90.22
_symmetry_space_group_name_H-M 'P 1'
_symmetry_Int_Tables_number 1
loop_
_symmetry_equiv_pos_as_xyz
'x,y,z'
loop_
_atom_site_label
_atom_site_type_symbol
_atom_site_fract_x
_atom_site_fract_y
_atom_site_fract_z
_atom_site_occupancy
La1 La 0.196 0.804 0.000 1
La2 La 0.300 0.300 0.500 1
La3 La 0.700 0.700 0.500 1
La4 La 0.804 0.196 0.000 1
Ir1 Ir 0.500 0.500 0.000 1
Ru1 Ru 0.000 0.000 0.500 1
```


# La9Ir4Ru2

Crystalline La9Ir4Ru2 at its relaxed geometry (PBE-GGA, Alexandria).

magnetization: 0.00 μB/f.u.
energy of formation: -0.520 eV per atom
SG: P-3c1, No. 165
density of states at the Fermi level: 17.969 states/eV/cell
mass density: 8.302 g cm⁻³

Structure (CIF):
```
data_La9Ir4Ru2
_cell_length_a 7.250
_cell_length_b 7.250
_cell_length_c 19.521
_cell_angle_alpha 90.00
_cell_angle_beta 90.00
_cell_angle_gamma 120.00
_symmetry_space_group_name_H-M 'P 1'
_symmetry_Int_Tables_number 1
loop_
_symmetry_equiv_pos_as_xyz
'x,y,z'
loop_
_atom_site_label
_atom_site_type_symbol
_atom_site_fract_x
_atom_site_fract_y
_atom_site_fract_z
_atom_site_occupancy
La1 La 0.000 0.329 0.250 1
La2 La 0.000 0.671 0.750 1
La3 La 0.001 0.332 0.584 1
La4 La 0.001 0.668 0.084 1
La5 La 0.329 0.000 0.250 1
La6 La 0.329 0.329 0.750 1
La7 La 0.332 0.001 0.916 1
La8 La 0.332 0.332 0.084 1
La9 La 0.332 0.332 0.416 1
La10 La 0.332 0.999 0.584 1
La11 La 0.668 0.001 0.416 1
La12 La 0.668 0.668 0.584 1
La13 La 0.668 0.668 0.916 1
La14 La 0.668 0.999 0.084 1
La15 La 0.671 0.000 0.750 1
La16 La 0.671 0.671 0.250 1
La17 La 0.999 0.332 0.916 1
La18 La 0.999 0.668 0.416 1
Ir1 Ir 0.333 0.667 0.334 1
Ir2 Ir 0.333 0.667 0.499 1
Ir3 Ir 0.333 0.667 0.834 1
Ir4 Ir 0.333 0.667 0.999 1
Ir5 Ir 0.667 0.333 0.001 1
Ir6 Ir 0.667 0.333 0.166 1
Ir7 Ir 0.667 0.333 0.501 1
Ir8 Ir 0.667 0.333 0.666 1
Ru1 Ru 0.000 0.000 0.170 1
Ru2 Ru 0.000 0.000 0.330 1
Ru3 Ru 0.000 0.000 0.670 1
Ru4 Ru 0.000 0.000 0.830 1
```


> Among the records above, which one has the highest energy of formation?

La4IrRu2


> Which value of magnetization does entry 4 give?

0.00 μB/f.u.